# PuZnSi PBE-GGA optimized geometry
data_PuZnSi
_chemical_formula_sum 'Pu4 Zn4 Si4'
_cell_length_a 6.388
_cell_length_b 6.388
_cell_length_c 6.388
_cell_angle_alpha 90.00
_cell_angle_beta 90.00
_cell_angle_gamma 90.00
_symmetry_space_group_name_H-M 'F -4 3 m'
_symmetry_Int_Tables_number 216
_symmetry_space_group_name_Hall 'F -4 2 3'
loop_
_atom_site_label
_atom_site_type_symbol
_atom_site_fract_x
_atom_site_fract_y
_atom_site_fract_z
Pu1 Pu 0.000 0.000 0.000
Zn1 Zn 0.000 0.000 0.500
Si1 Si 0.250 0.250 0.750
# ΔE_f (raw) in meV/atom: -122
# E_tot in eV per atom: -7.132



# LiSnAu6 PBE-GGA optimized geometry
data_LiSnAu6
_chemical_formula_sum 'Li4 Sn4 Au24'
_cell_length_a 6.015
_cell_length_b 7.990
_cell_length_c 12.181
_cell_angle_alpha 90.00
_cell_angle_beta 90.00
_cell_angle_gamma 90.00
_symmetry_space_group_name_H-M 'F m m m'
_symmetry_Int_Tables_number 69
_symmetry_space_group_name_Hall '-F 2 2'
loop_
_atom_site_label
_atom_site_type_symbol
_atom_site_fract_x
_atom_site_fract_y
_atom_site_fract_z
Li1 Li 0.000 0.000 0.000
Sn1 Sn 0.000 0.000 0.500
Au1 Au 0.000 0.000 0.243
Au2 Au 0.250 0.250 0.124
# E_tot in eV per atom: -3.376
# Distance to the lowest polymorph of the same formula in meV/atom: 24
# Formation enthalpy at 0 K in eV/f.u.: -1.4



# YHo4Zn4 PBE-GGA optimized geometry
data_YHo4Zn4
_chemical_formula_sum 'Y2 Ho8 Zn8'
_cell_length_a 9.002
_cell_length_b 9.002
_cell_length_c 5.885
_cell_angle_alpha 90.00
_cell_angle_beta 90.00
_cell_angle_gamma 90.00
_symmetry_space_group_name_H-M 'P 42/n'
_symmetry_Int_Tables_number 86
loop_
_symmetry_equiv_pos_as_xyz
'x,y,z'
'-x,-y,-z'
'-y,x+1/2,z+1/2'
'y,-x+1/2,-z+1/2'
'-x+1/2,-y+1/2,z'
'x+1/2,y+1/2,-z'
'y+1/2,-x,z+1/2'
'-y+1/2,x,-z+1/2'
loop_
_atom_site_label
_atom_site_type_symbol
_atom_site_fract_x
_atom_site_fract_y
_atom_site_fract_z
Y1 Y 0.250 0.250 0.250
Ho1 Ho 0.068 0.660 0.140
Zn1 Zn 0.023 0.615 0.628
# E_tot in eV per atom: -3.388
# Formation enthalpy at 0 K in eV/f.u.: -0.6



The following DOS(E_F) values (in states/eV/f.u.) correspond, in order, to the records above: 5.2, 2.6, 12.7.
The following magnetization values (in μB/f.u.) correspond, in order, to the records above: 5.94, 0.00, 0.00.